Below is an optimized crystal structure of EuUIr4, with properties calculated at the PBE-GGA level.

a b c (Å): 5.369 5.369 5.369
angles (deg): 60.00 60.00 60.00
Atoms (fractional coordinates):
Eu: 0.000 0.000 0.000
U: 0.750 0.750 0.750
Ir: 0.375 0.375 0.375
Ir: 0.375 0.375 0.875
Ir: 0.375 0.875 0.375
Ir: 0.875 0.375 0.375

Output
Mass density: 17.59 g/cm3
DOS at the Fermi energy: 1.432 states/eV/atom
E_form: -49.2 kJ/mol of atoms